# PrGdGe, relaxed, DFT PBE
# ρ: 6.86 g/cm3
# energy of formation from the pure elements: -536 meV per atom
# magnetic moment: 7.83 Bohr magnetons per cell
data_PrGdGe
_symmetry_space_group_name_H-M 'P 1'
_symmetry_Int_Tables_number 1
_cell_length_a 5.027
_cell_length_b 5.027
_cell_length_c 5.027
_cell_angle_alpha 60.00
_cell_angle_beta 60.00
_cell_angle_gamma 60.00
loop_
_symmetry_equiv_pos_as_xyz
'x,y,z'
loop_
_atom_site_label
_atom_site_type_symbol
_atom_site_fract_x
_atom_site_fract_y
_atom_site_fract_z
Pr1 Pr 0.500 0.500 0.500
Ge1 Ge 0.250 0.250 0.250
Gd1 Gd 0.000 0.000 0.000

***

# Er6TlNi6, relaxed, DFT PBE
# ρ: 10.15 g/cm3
# energy of formation from the pure elements: -262 meV per atom
# magnetic moment: 0.00 Bohr magnetons per cell
data_Er6TlNi6
_symmetry_space_group_name_H-M 'P 1'
_symmetry_Int_Tables_number 1
_cell_length_a 5.526
_cell_length_b 7.338
_cell_length_c 7.338
_cell_angle_alpha 81.35
_cell_angle_beta 67.88
_cell_angle_gamma 67.88
loop_
_symmetry_equiv_pos_as_xyz
'x,y,z'
loop_
_atom_site_label
_atom_site_type_symbol
_atom_site_fract_x
_atom_site_fract_y
_atom_site_fract_z
Er1 Er 0.333 0.667 0.667
Er2 Er 0.667 0.333 0.333
Er3 Er 0.000 0.313 0.687
Er4 Er 0.000 0.687 0.313
Er5 Er 0.332 0.168 0.168
Er6 Er 0.668 0.832 0.832
Tl1 Tl 0.000 0.000 0.000
Ni1 Ni 0.000 0.500 0.000
Ni2 Ni 0.500 0.500 0.000
Ni3 Ni 0.000 0.000 0.500
Ni4 Ni 0.500 0.000 0.500
Ni5 Ni 0.500 0.744 0.256
Ni6 Ni 0.500 0.256 0.744

***

# Nd3Sm6Cd, relaxed, DFT PBE
# energy above the most stable polymorph in this dataset: 0.61 eV/f.u.
# ρ: 7.19 g/cm3
# energy of formation from the pure elements: 41 meV per atom
# magnetic moment: 0.00 Bohr magnetons per cell
data_Nd3Sm6Cd
_symmetry_space_group_name_H-M 'P 1'
_symmetry_Int_Tables_number 1
_cell_length_a 6.362
_cell_length_b 11.278
_cell_length_c 11.278
_cell_angle_alpha 124.34
_cell_angle_beta 90.00
_cell_angle_gamma 90.00
loop_
_symmetry_equiv_pos_as_xyz
'x,y,z'
loop_
_atom_site_label
_atom_site_type_symbol
_atom_site_fract_x
_atom_site_fract_y
_atom_site_fract_z
Nd1 Nd 0.406 0.957 0.705
Nd2 Nd 0.906 0.705 0.957
Nd3 Nd 0.088 0.396 0.604
Nd4 Nd 0.588 0.604 0.396
Nd5 Nd 0.906 0.043 0.295
Nd6 Nd 0.406 0.295 0.043
Sm1 Sm 0.057 0.712 0.638
Sm2 Sm 0.557 0.638 0.712
Sm3 Sm 0.380 0.572 0.964
Sm4 Sm 0.880 0.964 0.572
Sm5 Sm 0.388 0.945 0.055
Sm6 Sm 0.660 0.294 0.706
Sm7 Sm 0.160 0.706 0.294
Sm8 Sm 0.888 0.055 0.945
Sm9 Sm 0.380 0.036 0.428
Sm10 Sm 0.880 0.428 0.036
Sm11 Sm 0.057 0.362 0.288
Sm12 Sm 0.557 0.288 0.362
Cd1 Cd 0.164 0.241 0.759
Cd2 Cd 0.664 0.759 0.241

***

# Sn3HgCl12, relaxed, DFT PBE
# ρ: 1.95 g/cm3
# raw formation energy: -863.9 meV per atom
# magnetic moment: 0.00 Bohr magnetons per cell
data_Sn3HgCl12
_symmetry_space_group_name_H-M 'P 1'
_symmetry_Int_Tables_number 1
_cell_length_a 12.754
_cell_length_b 12.754
_cell_length_c 13.960
_cell_angle_alpha 62.82
_cell_angle_beta 62.82
_cell_angle_gamma 60.00
loop_
_symmetry_equiv_pos_as_xyz
'x,y,z'
loop_
_atom_site_label
_atom_site_type_symbol
_atom_site_fract_x
_atom_site_fract_y
_atom_site_fract_z
Sn1 Sn 0.653 0.363 0.997
Sn2 Sn 0.153 0.488 0.497
Sn3 Sn 0.863 0.153 0.497
Sn4 Sn 0.363 0.988 0.997
Sn5 Sn 0.988 0.653 0.997
Sn6 Sn 0.488 0.863 0.497
Hg1 Hg 0.047 0.047 0.860
Hg2 Hg 0.547 0.547 0.360
Cl1 Cl 0.148 0.101 0.061
Cl2 Cl 0.204 0.279 0.609
Cl3 Cl 0.978 0.941 0.506
Cl4 Cl 0.776 0.417 0.811
Cl5 Cl 0.276 0.496 0.311
Cl6 Cl 0.478 0.075 0.006
Cl7 Cl 0.704 0.408 0.109
Cl8 Cl 0.941 0.575 0.506
Cl9 Cl 0.648 0.190 0.561
Cl10 Cl 0.908 0.204 0.609
Cl11 Cl 0.917 0.276 0.311
Cl12 Cl 0.190 0.601 0.561
Cl13 Cl 0.075 0.441 0.006
Cl14 Cl 0.690 0.148 0.061
Cl15 Cl 0.417 0.996 0.811
Cl16 Cl 0.408 0.779 0.109
Cl17 Cl 0.779 0.704 0.109
Cl18 Cl 0.441 0.478 0.006
Cl19 Cl 0.601 0.648 0.561
Cl20 Cl 0.996 0.776 0.811
Cl21 Cl 0.496 0.917 0.311
Cl22 Cl 0.101 0.690 0.061
Cl23 Cl 0.279 0.908 0.609
Cl24 Cl 0.575 0.978 0.506

***

# SmCoH3, relaxed, DFT PBE
# ρ: 6.74 g/cm3
# raw total energy: -23.24 eV for the cell shown
# magnetic moment: 0.51 Bohr magnetons per cell
data_SmCoH3
_symmetry_space_group_name_H-M 'P 1'
_symmetry_Int_Tables_number 1
_cell_length_a 3.549
_cell_length_b 3.549
_cell_length_c 4.850
_cell_angle_alpha 68.62
_cell_angle_beta 68.60
_cell_angle_gamma 90.00
loop_
_symmetry_equiv_pos_as_xyz
'x,y,z'
loop_
_atom_site_label
_atom_site_type_symbol
_atom_site_fract_x
_atom_site_fract_y
_atom_site_fract_z
Sm1 Sm 0.396 0.199 0.914
Co1 Co 0.060 0.863 0.586
H1 H 0.593 0.896 0.520
H2 H 0.093 0.396 0.520
H3 H 0.867 0.670 0.972

***

# NdTm2Pb, relaxed, DFT PBE
# energy above the most stable polymorph in this dataset: 0.17 eV/f.u.
# ρ: 9.88 g/cm3
# energy of formation from the pure elements: -268 meV per atom
# magnetic moment: 0.00 Bohr magnetons per cell
data_NdTm2Pb
_symmetry_space_group_name_H-M 'P 1'
_symmetry_Int_Tables_number 1
_cell_length_a 4.837
_cell_length_b 4.893
_cell_length_c 4.893
_cell_angle_alpha 90.00
_cell_angle_beta 90.00
_cell_angle_gamma 90.00
loop_
_symmetry_equiv_pos_as_xyz
'x,y,z'
loop_
_atom_site_label
_atom_site_type_symbol
_atom_site_fract_x
_atom_site_fract_y
_atom_site_fract_z
Pb1 Pb 0.500 0.000 0.000
Tm1 Tm 0.000 0.000 0.500
Tm2 Tm 0.000 0.500 0.000
Nd1 Nd 0.500 0.500 0.500

***

# Pr3Dy6In, relaxed, DFT PBE
# ρ: 7.78 g/cm3
# energy of formation from the pure elements: -26 meV per atom
# magnetic moment: 0.00 Bohr magnetons per cell
data_Pr3Dy6In
_symmetry_space_group_name_H-M 'P 1'
_symmetry_Int_Tables_number 1
_cell_length_a 3.579
_cell_length_b 13.054
_cell_length_c 16.136
_cell_angle_alpha 121.06
_cell_angle_beta 90.00
_cell_angle_gamma 90.00
loop_
_symmetry_equiv_pos_as_xyz
'x,y,z'
loop_
_atom_site_label
_atom_site_type_symbol
_atom_site_fract_x
_atom_site_fract_y
_atom_site_fract_z
Pr1 Pr 0.750 0.386 0.895
Pr2 Pr 0.250 0.614 0.105
Pr3 Pr 0.750 0.623 0.501
Pr4 Pr 0.250 0.377 0.499
Pr5 Pr 0.750 0.126 0.092
Pr6 Pr 0.250 0.874 0.908
Dy1 Dy 0.750 0.593 0.710
Dy2 Dy 0.250 0.407 0.290
Dy3 Dy 0.750 0.859 0.110
Dy4 Dy 0.250 0.141 0.890
Dy5 Dy 0.750 0.383 0.100
Dy6 Dy 0.250 0.617 0.900
Dy7 Dy 0.750 0.669 0.311
Dy8 Dy 0.250 0.331 0.689
Dy9 Dy 0.750 0.111 0.477
Dy10 Dy 0.250 0.889 0.523
Dy11 Dy 0.750 0.888 0.718
Dy12 Dy 0.250 0.112 0.282
In1 In 0.750 0.116 0.693
In2 In 0.250 0.884 0.307

***

# Ac4As2PPt, relaxed, DFT PBE
# ρ: 8.34 g/cm3
# energy of formation from the pure elements: -1329 meV per atom
# magnetic moment: 0.00 Bohr magnetons per cell
data_Ac4As2PPt
_symmetry_space_group_name_H-M 'P 1'
_symmetry_Int_Tables_number 1
_cell_length_a 4.472
_cell_length_b 7.783
_cell_length_c 7.763
_cell_angle_alpha 108.85
_cell_angle_beta 90.00
_cell_angle_gamma 90.00
loop_
_symmetry_equiv_pos_as_xyz
'x,y,z'
loop_
_atom_site_label
_atom_site_type_symbol
_atom_site_fract_x
_atom_site_fract_y
_atom_site_fract_z
Ac1 Ac 0.500 0.251 0.246
Ac2 Ac 0.500 0.749 0.754
Ac3 Ac 0.000 0.251 0.757
Ac4 Ac 0.000 0.749 0.243
As1 As 0.500 0.000 0.500
As2 As 0.000 0.500 0.500
P1 P 0.500 0.500 0.000
Pt1 Pt 0.000 0.000 0.000

***

# Ce5PmGe5, relaxed, DFT PBE
# ρ: 6.34 g/cm3
# energy of formation from the pure elements: -553 meV per atom
# magnetic moment: 2.15 Bohr magnetons per cell
data_Ce5PmGe5
_symmetry_space_group_name_H-M 'P 1'
_symmetry_Int_Tables_number 1
_cell_length_a 5.967
_cell_length_b 7.284
_cell_length_c 8.414
_cell_angle_alpha 106.60
_cell_angle_beta 90.00
_cell_angle_gamma 114.18
loop_
_symmetry_equiv_pos_as_xyz
'x,y,z'
loop_
_atom_site_label
_atom_site_type_symbol
_atom_site_fract_x
_atom_site_fract_y
_atom_site_fract_z
Ce1 Ce 0.663 0.327 0.334
Ce2 Ce 0.667 0.335 0.835
Ce3 Ce 0.000 0.000 0.500
Ce4 Ce 0.333 0.665 0.165
Ce5 Ce 0.337 0.673 0.666
Pm1 Pm 0.000 0.000 0.000
Ge1 Ge 0.830 0.660 0.173
Ge2 Ge 0.832 0.663 0.659
Ge3 Ge 0.500 0.000 0.000
Ge4 Ge 0.168 0.337 0.341
Ge5 Ge 0.170 0.340 0.827

***

# Sc2TcHPt, relaxed, DFT PBE
# energy above the most stable polymorph in this dataset: 3.04 eV/f.u.
# ρ: 7.76 g/cm3
# magnetic moment: 0.00 Bohr magnetons per cell
data_Sc2TcHPt
_symmetry_space_group_name_H-M 'P 1'
_symmetry_Int_Tables_number 1
_cell_length_a 4.935
_cell_length_b 3.373
_cell_length_c 4.935
_cell_angle_alpha 90.00
_cell_angle_beta 90.00
_cell_angle_gamma 90.00
loop_
_symmetry_equiv_pos_as_xyz
'x,y,z'
loop_
_atom_site_label
_atom_site_type_symbol
_atom_site_fract_x
_atom_site_fract_y
_atom_site_fract_z
Sc1 Sc 0.000 0.000 0.500
Sc2 Sc 0.500 0.000 0.000
H1 H 0.000 0.500 0.000
Tc1 Tc 0.000 0.000 0.000
Pt1 Pt 0.500 0.500 0.500

***

# Na2Tm2PaTe6, relaxed, DFT PBE
# ρ: 6.04 g/cm3
# raw formation energy: -1151.5 meV per atom
# magnetic moment: 1.04 Bohr magnetons per cell
data_Na2Tm2PaTe6
_symmetry_space_group_name_H-M 'P 1'
_symmetry_Int_Tables_number 1
_cell_length_a 7.567
_cell_length_b 7.567
_cell_length_c 8.055
_cell_angle_alpha 99.02
_cell_angle_beta 99.02
_cell_angle_gamma 119.89
loop_
_symmetry_equiv_pos_as_xyz
'x,y,z'
loop_
_atom_site_label
_atom_site_type_symbol
_atom_site_fract_x
_atom_site_fract_y
_atom_site_fract_z
Na1 Na 0.835 0.165 0.000
Na2 Na 0.165 0.835 0.000
Tm1 Tm 0.333 0.667 0.500
Tm2 Tm 0.667 0.333 0.500
Pa1 Pa 0.000 0.000 0.500
Te1 Te 0.739 0.739 0.729
Te2 Te 0.078 0.412 0.730
Te3 Te 0.261 0.261 0.271
Te4 Te 0.412 0.078 0.730
Te5 Te 0.922 0.588 0.270
Te6 Te 0.588 0.922 0.270

***

# YEr2Rh3, relaxed, DFT PBE
# ρ: 10.24 g/cm3
# energy of formation from the pure elements: -905 meV per atom
# magnetic moment: 0.00 Bohr magnetons per cell
data_YEr2Rh3
_symmetry_space_group_name_H-M 'P 1'
_symmetry_Int_Tables_number 1
_cell_length_a 4.824
_cell_length_b 4.824
_cell_length_c 11.786
_cell_angle_alpha 90.00
_cell_angle_beta 90.00
_cell_angle_gamma 120.00
loop_
_symmetry_equiv_pos_as_xyz
'x,y,z'
loop_
_atom_site_label
_atom_site_type_symbol
_atom_site_fract_x
_atom_site_fract_y
_atom_site_fract_z
Y1 Y 0.333 0.667 0.667
Y2 Y 0.667 0.333 0.333
Er1 Er 0.000 0.000 0.500
Er2 Er 0.333 0.667 0.166
Er3 Er 0.667 0.333 0.834
Er4 Er 0.000 0.000 0.000
Rh1 Rh 0.333 0.667 0.416
Rh2 Rh 0.667 0.333 0.082
Rh3 Rh 0.000 0.000 0.752
Rh4 Rh 0.000 0.000 0.248
Rh5 Rh 0.333 0.667 0.918
Rh6 Rh 0.667 0.333 0.584

***

# Tm8AgBi2, relaxed, DFT PBE
# ρ: 10.01 g/cm3
# energy of formation from the pure elements: -286 meV per atom
# magnetic moment: 0.00 Bohr magnetons per cell
data_Tm8AgBi2
_symmetry_space_group_name_H-M 'P 1'
_symmetry_Int_Tables_number 1
_cell_length_a 5.080
_cell_length_b 6.902
_cell_length_c 9.260
_cell_angle_alpha 86.43
_cell_angle_beta 105.92
_cell_angle_gamma 90.00
loop_
_symmetry_equiv_pos_as_xyz
'x,y,z'
loop_
_atom_site_label
_atom_site_type_symbol
_atom_site_fract_x
_atom_site_fract_y
_atom_site_fract_z
Tm1 Tm 0.410 0.437 0.820
Tm2 Tm 0.660 0.098 0.320
Tm3 Tm 0.787 0.623 0.574
Tm4 Tm 0.032 0.253 0.063
Tm5 Tm 0.213 0.377 0.426
Tm6 Tm 0.340 0.902 0.680
Tm7 Tm 0.590 0.563 0.180
Tm8 Tm 0.968 0.747 0.937
Ag1 Ag 0.500 0.000 0.000
Bi1 Bi 0.840 0.170 0.680
Bi2 Bi 0.160 0.830 0.320

***

# Ce2Ge3BiPt4, relaxed, DFT PBE
# ρ: 11.91 g/cm3
# energy of formation from the pure elements: -768 meV per atom
# magnetic moment: 1.41 Bohr magnetons per cell
data_Ce2Ge3BiPt4
_symmetry_space_group_name_H-M 'P 1'
_symmetry_Int_Tables_number 1
_cell_length_a 4.343
_cell_length_b 4.343
_cell_length_c 10.992
_cell_angle_alpha 90.00
_cell_angle_beta 90.00
_cell_angle_gamma 90.00
loop_
_symmetry_equiv_pos_as_xyz
'x,y,z'
loop_
_atom_site_label
_atom_site_type_symbol
_atom_site_fract_x
_atom_site_fract_y
_atom_site_fract_z
Ce1 Ce 0.500 0.000 0.230
Ce2 Ce 0.000 0.500 0.770
Ge1 Ge 0.000 0.000 0.500
Ge2 Ge 0.500 0.000 0.878
Ge3 Ge 0.000 0.500 0.122
Bi1 Bi 0.500 0.500 0.500
Pt1 Pt 0.500 0.500 0.000
Pt2 Pt 0.000 0.000 0.000
Pt3 Pt 0.500 0.000 0.658
Pt4 Pt 0.000 0.500 0.342

***

# Tb2SmB6, relaxed, DFT PBE
# ρ: 7.86 g/cm3
# energy of formation from the pure elements: -482 meV per atom
# magnetic moment: 0.00 Bohr magnetons per cell
data_Tb2SmB6
_symmetry_space_group_name_H-M 'P 1'
_symmetry_Int_Tables_number 1
_cell_length_a 3.958
_cell_length_b 5.733
_cell_length_c 5.733
_cell_angle_alpha 120.00
_cell_angle_beta 90.00
_cell_angle_gamma 90.00
loop_
_symmetry_equiv_pos_as_xyz
'x,y,z'
loop_
_atom_site_label
_atom_site_type_symbol
_atom_site_fract_x
_atom_site_fract_y
_atom_site_fract_z
Tb1 Tb 0.000 0.333 0.667
Tb2 Tb 0.000 0.667 0.333
Sm1 Sm 0.000 0.000 0.000
B1 B 0.500 0.337 0.337
B2 B 0.500 0.663 0.663
B3 B 0.500 0.000 0.663
B4 B 0.500 0.663 0.000
B5 B 0.500 0.337 0.000
B6 B 0.500 0.000 0.337

***

# LaIF, relaxed, DFT PBE
# ρ: 6.22 g/cm3
# raw formation energy: -2426.1 meV per atom
# magnetic moment: 0.00 Bohr magnetons per cell
data_LaIF
_symmetry_space_group_name_H-M 'P 1'
_symmetry_Int_Tables_number 1
_cell_length_a 4.306
_cell_length_b 4.306
_cell_length_c 4.733
_cell_angle_alpha 90.00
_cell_angle_beta 90.00
_cell_angle_gamma 120.00
loop_
_symmetry_equiv_pos_as_xyz
'x,y,z'
loop_
_atom_site_label
_atom_site_type_symbol
_atom_site_fract_x
_atom_site_fract_y
_atom_site_fract_z
I1 I 0.000 0.000 0.000
F1 F 0.333 0.667 0.500
La1 La 0.667 0.333 0.500

***

# LaDyO2, relaxed, DFT PBE
# energy above the most stable polymorph in this dataset: 0.64 eV/f.u.
# ρ: 8.57 g/cm3
# raw formation energy: -2735.5 meV per atom
# magnetic moment: 0.00 Bohr magnetons per cell
data_LaDyO2
_symmetry_space_group_name_H-M 'P 1'
_symmetry_Int_Tables_number 1
_cell_length_a 3.479
_cell_length_b 3.479
_cell_length_c 6.481
_cell_angle_alpha 74.43
_cell_angle_beta 74.43
_cell_angle_gamma 60.00
loop_
_symmetry_equiv_pos_as_xyz
'x,y,z'
loop_
_atom_site_label
_atom_site_type_symbol
_atom_site_fract_x
_atom_site_fract_y
_atom_site_fract_z
La1 La 0.495 0.495 0.516
Dy1 Dy 0.671 0.671 0.986
O1 O 0.068 0.068 0.797
O2 O 0.267 0.267 0.200

***

# Ga2Pb3Cl8, relaxed, DFT PBE
# ρ: 3.92 g/cm3
# raw formation energy: -1000.6 meV per atom
# magnetic moment: 0.00 Bohr magnetons per cell
data_Ga2Pb3Cl8
_symmetry_space_group_name_H-M 'P 1'
_symmetry_Int_Tables_number 1
_cell_length_a 7.316
_cell_length_b 8.207
_cell_length_c 8.207
_cell_angle_alpha 63.94
_cell_angle_beta 88.74
_cell_angle_gamma 88.74
loop_
_symmetry_equiv_pos_as_xyz
'x,y,z'
loop_
_atom_site_label
_atom_site_type_symbol
_atom_site_fract_x
_atom_site_fract_y
_atom_site_fract_z
Ga1 Ga 0.487 0.711 0.711
Ga2 Ga 0.513 0.289 0.289
Pb1 Pb 0.500 0.000 0.000
Pb2 Pb 0.000 0.744 0.256
Pb3 Pb 0.000 0.256 0.744
Cl1 Cl 0.840 0.388 0.388
Cl2 Cl 0.160 0.612 0.612
Cl3 Cl 0.840 0.887 0.887
Cl4 Cl 0.160 0.113 0.113
Cl5 Cl 0.665 0.355 0.884
Cl6 Cl 0.665 0.884 0.355
Cl7 Cl 0.335 0.116 0.645
Cl8 Cl 0.335 0.645 0.116